# PBE DyErLu, optimized geometry
data_DyErLu
_cell_length_a 5.5336
_cell_length_b 5.5336
_cell_length_c 3.4093
_cell_angle_alpha 90.00
_cell_angle_beta 90.00
_cell_angle_gamma 120.00
_space_group_name_H-M_alt 'P -6 m 2'
_space_group_IT_number 187
_space_group_name_Hall 'P -6 2'
loop_
_atom_site_label
_atom_site_fract_x
_atom_site_fract_y
_atom_site_fract_z
Dy1 0.0000 0.0000 0.0000
Er1 0.6667 0.3333 0.5000
Lu1 0.3333 0.6667 0.5000
# - Size of the total moment: 0.0 μB per formula unit
# - Calculated formation energy: 83 meV per atom
# - Calculated total energy: -4.48 eV per atom

# PBE DyErLu4, optimized geometry
data_DyErLu4
_cell_length_a 9.117
_cell_length_b 9.117
_cell_length_c 9.117
_cell_angle_alpha 90.00
_cell_angle_beta 90.00
_cell_angle_gamma 90.00
_space_group_name_H-M_alt 'F -4 3 m'
_space_group_IT_number 216
_space_group_name_Hall 'F -4 2 3'
loop_
_atom_site_label
_atom_site_fract_x
_atom_site_fract_y
_atom_site_fract_z
Dy1 0.000 0.000 0.000
Er1 0.250 0.250 0.750
Lu1 0.125 0.125 0.375
# - Size of the total moment: 1.2 μB per formula unit
# - Calculated formation energy: 280 meV per atom
# - Calculated total energy: -4.26 eV per atom

# PBE DyErLuPa, optimized geometry
data_DyErLuPa
_cell_length_a 7.789
_cell_length_b 7.789
_cell_length_c 7.789
_cell_angle_alpha 90.00
_cell_angle_beta 90.00
_cell_angle_gamma 90.00
_space_group_name_H-M_alt 'F -4 3 m'
_space_group_IT_number 216
_space_group_name_Hall 'F -4 2 3'
loop_
_atom_site_label
_atom_site_fract_x
_atom_site_fract_y
_atom_site_fract_z
Dy1 0.000 0.000 0.000
Er1 0.000 0.000 0.500
Lu1 0.250 0.250 0.250
Pa1 0.250 0.250 0.750
# - Size of the total moment: 2.1 μB per formula unit
# - Calculated formation energy: 343 meV per atom
# - Calculated total energy: -5.45 eV per atom

# PBE PmDyErLu, optimized geometry
data_PmDyErLu
_cell_length_a 7.979
_cell_length_b 7.979
_cell_length_c 7.979
_cell_angle_alpha 90.00
_cell_angle_beta 90.00
_cell_angle_gamma 90.00
_space_group_name_H-M_alt 'F -4 3 m'
_space_group_IT_number 216
_space_group_name_Hall 'F -4 2 3'
loop_
_atom_site_label
_atom_site_fract_x
_atom_site_fract_y
_atom_site_fract_z
Pm1 0.000 0.000 0.000
Dy1 0.000 0.000 0.500
Er1 0.250 0.250 0.250
Lu1 0.250 0.250 0.750
# - Size of the total moment: 0.0 μB per formula unit
# - Calculated formation energy: 113 meV per atom
# - Calculated total energy: -4.50 eV per atom

# PBE PrDyErLu, optimized geometry
data_PrDyErLu
_cell_length_a 8.012
_cell_length_b 8.012
_cell_length_c 8.012
_cell_angle_alpha 90.00
_cell_angle_beta 90.00
_cell_angle_gamma 90.00
_space_group_name_H-M_alt 'F -4 3 m'
_space_group_IT_number 216
_space_group_name_Hall 'F -4 2 3'
loop_
_atom_site_label
_atom_site_fract_x
_atom_site_fract_y
_atom_site_fract_z
Pr1 0.000 0.000 0.000
Dy1 0.000 0.000 0.500
Er1 0.250 0.250 0.750
Lu1 0.250 0.250 0.250
# - Size of the total moment: 0.0 μB per formula unit
# - Calculated formation energy: 106 meV per atom
# - Calculated total energy: -4.51 eV per atom

# PBE SmDyErLu, optimized geometry
data_SmDyErLu
_cell_length_a 7.966
_cell_length_b 7.966
_cell_length_c 7.966
_cell_angle_alpha 90.00
_cell_angle_beta 90.00
_cell_angle_gamma 90.00
_space_group_name_H-M_alt 'F -4 3 m'
_space_group_IT_number 216
_space_group_name_Hall 'F -4 2 3'
loop_
_atom_site_label
_atom_site_fract_x
_atom_site_fract_y
_atom_site_fract_z
Sm1 0.000 0.000 0.000
Dy1 0.000 0.000 0.500
Er1 0.250 0.250 0.250
Lu1 0.250 0.250 0.750
# - Size of the total moment: 0.0 μB per formula unit
# - Calculated formation energy: 117 meV per atom
# - Calculated total energy: -4.48 eV per atom

# PBE DyErLuTh, optimized geometry
data_DyErLuTh
_cell_length_a 7.939
_cell_length_b 7.939
_cell_length_c 7.939
_cell_angle_alpha 90.00
_cell_angle_beta 90.00
_cell_angle_gamma 90.00
_space_group_name_H-M_alt 'F -4 3 m'
_space_group_IT_number 216
_space_group_name_Hall 'F -4 2 3'
loop_
_atom_site_label
_atom_site_fract_x
_atom_site_fract_y
_atom_site_fract_z
Dy1 0.000 0.000 0.000
Er1 0.250 0.250 0.250
Lu1 0.250 0.250 0.750
Th1 0.000 0.000 0.500
# - Size of the total moment: 0.0 μB per formula unit
# - Calculated formation energy: 122 meV per atom
# - Calculated total energy: -5.15 eV per atom

# PBE DyErLuZr, optimized geometry
data_DyErLuZr
_cell_length_a 7.698
_cell_length_b 7.698
_cell_length_c 7.698
_cell_angle_alpha 90.00
_cell_angle_beta 90.00
_cell_angle_gamma 90.00
_space_group_name_H-M_alt 'F -4 3 m'
_space_group_IT_number 216
_space_group_name_Hall 'F -4 2 3'
loop_
_atom_site_label
_atom_site_fract_x
_atom_site_fract_y
_atom_site_fract_z
Dy1 0.000 0.000 0.000
Er1 0.250 0.250 0.750
Lu1 0.250 0.250 0.250
Zr1 0.000 0.000 0.500
# - Size of the total moment: 2.5 μB per formula unit
# - Calculated formation energy: 202 meV per atom
# - Calculated total energy: -5.36 eV per atom